A relaxed TlHg2 crystal, computed with PBE.

Unit cell a=5.3994 b=5.3994 c=6.8375 alpha=90.00 beta=90.00 gamma=120.00
Positions (direct):
Tl (0.3333, 0.6667, 0.2500)
Tl (0.6667, 0.3333, 0.7500)
Hg (0.0000, 0.0000, 0.0000)
Hg (0.0000, 0.0000, 0.5000)
Hg (0.3333, 0.6667, 0.7500)
Hg (0.6667, 0.3333, 0.2500)

Computed properties:
Final energy ... -0.99 eV/atom
Energy relative to the lowest polymorph listed for this composition ... 0.024 eV/atom
Total moment ... 0.00 μB per formula unit
Energy of formation ... 0.002 eV per atom
Volume ... 172.63 Å³/cell